Record 1
First-principles (PBE) data for a relaxed structure of SrIn2ReRh, as listed in the Alexandria database.

Computed properties:
- Calculated formation energy: 510 meV/atom
- D(E_F): 1.07 states/eV per atom
- Symmetry: No. 123
- Total energy: -4.88 eV per atom
- Mass density: 7.8 g cm⁻³

Geometry as POSCAR:
```
SrIn2ReRh
1.0
5.1034 0.0000 0.0000
0.0000 4.9524 0.0000
0.0000 0.0000 5.1034
In Sr Re Rh
2 1 1 1
direct
0.5000 0.0000 0.0000
0.0000 0.0000 0.5000
0.5000 0.5000 0.5000
0.0000 0.5000 0.0000
0.0000 0.0000 0.0000
```



Record 2
First-principles (PBE) data for a relaxed structure of TaInReRh2, as listed in the Alexandria database.

Computed properties:
- Calculated formation energy: 1876 meV/atom
- D(E_F): 1.18 states/eV per atom
- Symmetry: No. 123
- Total energy: -6.47 eV per atom
- Mass density: 10.9 g cm⁻³

Geometry as POSCAR:
```
TaInReRh2
1.0
-2.9641 1.3529 -3.3036
-3.4241 -2.8697 1.8970
-1.4245 3.4890 2.7069
In Re Rh Ta
1 1 2 1
direct
0.0000 0.0000 0.0000
0.0000 0.5000 0.0000
0.0000 0.0000 0.5000
0.5000 0.0000 0.0000
0.5000 0.5000 0.5000
```



Record 3
First-principles (PBE) data for a relaxed structure of InRe2Ru, as listed in the Alexandria database.

Computed properties:
- Calculated formation energy: 606 meV/atom
- D(E_F): 0.69 states/eV per atom
- Symmetry: No. 65
- Total energy: -8.62 eV per atom
- Mass density: 15.1 g cm⁻³

Geometry as POSCAR:
```
InRe2Ru
1.0
-0.1070 2.3252 1.5401
-0.6517 -2.3922 1.2815
8.9421 -1.1629 2.3766
Re Ru In
2 1 1
direct
0.0000 0.0000 0.4848
0.0000 0.0000 0.0152
0.5000 0.5000 0.2500
0.5000 0.5000 0.7500
```



Record 4
First-principles (PBE) data for a relaxed structure of In2ReRu2, as listed in the Alexandria database.

Computed properties:
- Calculated formation energy: 680 meV/atom
- D(E_F): 0.98 states/eV per atom
- E above lowest polymorph: 0.0 meV per atom
- Symmetry: No. 127
- Total energy: -6.62 eV per atom
- Mass density: 12.0 g cm⁻³

Geometry as POSCAR:
```
In2ReRu2
1.0
7.5188 0.0000 0.0000
0.0000 7.5188 0.0000
0.0000 0.0000 3.0138
Ru In Re
4 4 2
direct
0.3316 0.1684 0.5000
0.6684 0.8316 0.5000
0.1684 0.6684 0.5000
0.8316 0.3316 0.5000
0.8664 0.6336 0.0000
0.1336 0.3664 0.0000
0.6336 0.1336 0.0000
0.3664 0.8664 0.0000
0.0000 0.0000 0.0000
0.5000 0.5000 0.0000
```



Record 5
First-principles (PBE) data for a relaxed structure of InRe2Ru, as listed in the Alexandria database.

Computed properties:
- Calculated formation energy: 492 meV/atom
- D(E_F): 0.81 states/eV per atom
- Symmetry: No. 44
- Total energy: -8.74 eV per atom
- Mass density: 15.2 g cm⁻³

Geometry as POSCAR:
```
InRe2Ru
1.0
-1.4433 3.7543 3.4077
-4.8663 -0.3897 1.9893
4.6980 -2.3422 -0.4829
Re Ru In
2 1 1
direct
0.9892 0.9892 0.0000
0.7594 0.2594 0.5000
0.5018 0.5018 0.0000
0.2496 0.7496 0.5000
```



Record 6
First-principles (PBE) data for a relaxed structure of In2ReRu, as listed in the Alexandria database.

Computed properties:
- Calculated formation energy: 531 meV/atom
- D(E_F): 1.67 states/eV per atom
- E above lowest polymorph: 411.9 meV per atom
- Symmetry: No. 225
- Total energy: -6.27 eV per atom
- Mass density: 12.4 g cm⁻³

Geometry as POSCAR:
```
In2ReRu
1.0
0.8936 -4.1539 -1.7906
-1.6623 -3.7916 2.0299
-3.3686 -2.4108 -2.0249
Ru Re In
1 1 2
direct
0.0000 0.0000 0.0000
0.5000 0.5000 0.5000
0.2500 0.2500 0.2500
0.7500 0.7500 0.7500
```